1) A geometry-optimized BeSbP2 structure. Source: Alexandria, functional PBE.

Volume ... 79.8 Å³ per cell
DOS at the Fermi energy ... 2.4 states/eV per cell

Geometry as POSCAR:
```
BeSbP2
1.0
-1.2670 -0.0857 2.7410
-2.6604 -0.7023 -1.2517
1.9459 -8.5010 0.6337
Sb Be P
1 1 2
Cartesian
-1.4772 -2.5192 0.9031
-0.5043 -6.7698 1.2200
1.7003 -7.4282 0.5537
1.2185 -5.3233 0.3968
```

---

2) A geometry-optimized BeSbP2 structure. Source: Alexandria, functional PBE.

Volume ... 68.8 Å³ per cell
DOS at the Fermi energy ... 1.9 states/eV per cell

Geometry as POSCAR:
```
BeSbP2
1.0
-4.3558 -4.0578 0.4956
0.2458 -5.7212 1.7006
1.6797 5.5846 1.2945
Sb Be P
1 1 2
Cartesian
-0.0647 -2.5131 2.0466
-2.3655 -1.6814 1.4441
0.0000 0.0000 0.0000
-2.0550 -4.8895 1.0981
```

---

It is 2) that is the least stable of them.